Entry from the Alexandria database: a geometry-optimized Pd3Pb2Se2 structure (PBEsol).

ρ   10.2 Mg/m³
DOS(E_F)   0.53 states/eV/atom
Raw formation energy   -0.407 eV/atom

Cell and atoms, written as POSCAR:
```
Pd3Pb2Se2
1.0
-5.838 -0.865 0.484
-2.905 -3.202 -4.047
-2.138 -5.349 1.375
Pd Se Pb
3 2 2
Cartesian
-2.919 -0.432 0.242
-1.453 -1.601 -2.023
-1.069 -2.674 0.687
-3.139 -2.716 -0.631
-7.742 -6.699 -1.557
0.000 0.000 0.000
-5.441 -4.708 -1.094
```